No. 1
Entry from Alexandria: an optimized crystal structure of AgSe3N (PBE-GGA).

It has space group Pm-3m (No. 221), with a = 4.4697 Å, b = 4.4697 Å, c = 4.4697 Å, α = 90.00°, β = 90.00° and γ = 90.00°. The asymmetric unit holds Ag at (0.0000, 0.0000, 0.0000), Se at (0.0000, 0.5000, 0.5000) and N at (0.5000, 0.5000, 0.5000).

The value obtained for the formation energy from raw total energies is 0.922 eV per atom. The value obtained for the total energy is -3.404 eV per atom. The value obtained for the density is 6.672 g/cm3. The calculation puts the total magnetization at 0.0 μB/cell.

No. 2
Entry from Alexandria: an optimized crystal structure of SiAgSeN2 (PBE-GGA).

It has space group P4/mmm (No. 123), with a = 4.0699 Å, b = 4.0699 Å, c = 5.5942 Å, α = 90.00°, β = 90.00° and γ = 90.00°. The asymmetric unit holds Si at (0.0000, 0.0000, 0.0000), Ag at (0.5000, 0.5000, 0.5000), Se at (0.5000, 0.5000, 0.0000) and N at (0.0000, 0.5000, 0.5000).

The value obtained for the formation energy from raw total energies is 1.873 eV per atom. The value obtained for the total energy is -3.808 eV per atom. The value obtained for the density is 4.353 g/cm3. The calculation puts the total magnetization at 3.2 μB/cell.

No. 3
Entry from Alexandria: an optimized crystal structure of SiAgSeN2 (PBE-GGA).

It has space group P4/mmm (No. 123), with a = 3.5254 Å, b = 3.5254 Å, c = 6.3941 Å, α = 90.00°, β = 90.00° and γ = 90.00°. The asymmetric unit holds Si at (0.0000, 0.0000, 0.0000), Ag at (0.5000, 0.5000, 0.5000), Se at (0.0000, 0.0000, 0.5000) and N at (0.0000, 0.5000, 0.0000).

The value obtained for the formation energy from raw total energies is 0.578 eV per atom. The value obtained for the total energy is -5.104 eV per atom. The value obtained for the density is 5.076 g/cm3. The calculation puts the total magnetization at 0.0 μB/cell.